Entry 1:
A relaxed structure of Dy6Hg8Pb. Source: Alexandria via LeMat-Bulk, functional PBE.

Properties
ΔH_f (0 K): -0.34 eV per atom
Total magnetic moment: 0.000 μB per atom
DOS(E_F): 9.48 states/eV/f.u.
Density: 11.065 g/cm3
E_tot: -2.587 eV per atom
SG: R-3, No. 148

Structure (POSCAR):
```
Dy6Hg8Pb
1.0
-7.219 -3.372 -1.319
-3.174 -3.700 6.439
-6.184 3.936 3.391
Dy Hg Pb
6 8 1
Direct
0.121 0.388 0.686
0.314 0.879 0.612
0.612 0.314 0.879
0.388 0.686 0.121
0.686 0.121 0.388
0.879 0.612 0.314
0.187 0.546 0.933
0.067 0.813 0.454
0.454 0.067 0.813
0.698 0.698 0.698
0.302 0.302 0.302
0.546 0.933 0.187
0.933 0.187 0.546
0.813 0.454 0.067
0.000 0.000 0.000
```

***

Entry 2:
A relaxed structure of Cs2LiTaTe4. Source: Alexandria via LeMat-Bulk, functional PBE.

Properties
Total magnetic moment: 0.000 μB per atom
Density: 4.563 g/cm3
E_tot: -4.322 eV per atom
SG: Fddd, No. 70

Structure (POSCAR):
```
Cs2LiTaTe4
1.0
6.585 0.000 0.000
3.292 7.701 0.000
3.292 0.000 13.838
Cs Li Ta Te
4 2 2 8
Direct
0.180 0.000 0.640
0.820 0.000 0.360
0.570 0.500 0.860
0.930 0.500 0.140
0.750 0.500 0.500
0.000 0.000 0.000
0.250 0.500 0.500
0.500 0.000 0.000
0.312 0.803 0.109
0.224 0.197 0.891
0.885 0.803 0.891
0.579 0.197 0.109
0.438 0.697 0.391
0.526 0.303 0.609
0.865 0.697 0.609
0.171 0.303 0.391
```

***

Entry 3:
A relaxed structure of Ca3TlSn12. Source: Alexandria via LeMat-Bulk, functional PBE.

Properties
ΔH_f (0 K): -0.26 eV per atom
Total magnetic moment: 0.000 μB per atom
DOS(E_F): 8.71 states/eV/f.u.
Density: 6.621 g/cm3
E_tot: -3.783 eV per atom
SG: P4/mmm, No. 123

Structure (POSCAR):
```
Ca3TlSn12
1.0
4.746 0.000 0.000
0.000 4.746 0.000
0.000 0.000 19.473
Ca Tl Sn
3 1 12
Direct
0.000 0.000 0.257
0.000 0.000 0.500
0.000 0.000 0.743
0.000 0.000 0.000
0.500 0.500 0.000
0.500 0.500 0.251
0.500 0.500 0.500
0.500 0.500 0.749
0.500 0.000 0.129
0.500 0.000 0.377
0.500 0.000 0.623
0.500 0.000 0.871
0.000 0.500 0.129
0.000 0.500 0.377
0.000 0.500 0.623
0.000 0.500 0.871
```

***

Entry 4:
A relaxed structure of SrPrAgIr. Source: Alexandria via LeMat-Bulk, functional PBE.

Properties
ΔH_f (0 K): -0.26 eV per atom
Total magnetic moment: 0.000 μB per atom
DOS(E_F): 2.86 states/eV/f.u.
Density: 8.786 g/cm3
E_tot: -4.807 eV per atom
SG: F-43m, No. 216

Structure (POSCAR):
```
SrPrAgIr
1.0
5.208 0.000 0.000
2.604 4.511 0.000
2.604 1.504 4.253
Pr Sr Ir Ag
1 1 1 1
Direct
0.750 0.750 0.750
0.250 0.250 0.250
0.000 0.000 0.000
0.500 0.500 0.500
```

***

Entry 5:
A relaxed structure of Co2P. Source: Alexandria via LeMat-Bulk, functional PBE.

Properties
ΔH_f (0 K): -0.17 eV per atom
Total magnetic moment: 0.086 μB per atom
DOS(E_F): 3.91 states/eV/f.u.
Density: 7.016 g/cm3
E_tot: -6.715 eV per atom
SG: P4/mmm, No. 123

Structure (POSCAR):
```
Co2P
1.0
3.664 0.000 0.000
0.000 3.664 0.000
0.000 0.000 2.624
Co P
2 1
Direct
0.000 0.500 0.500
0.500 0.000 0.500
0.000 0.000 0.000
```

***

Entry 6:
A relaxed structure of LiMnCl2. Source: Alexandria via LeMat-Bulk, functional PBE.

Properties
Total magnetic moment: 1.054 μB per atom
DOS(E_F): 2.78 states/eV/f.u.
Distance to the lowest polymorph of the same formula: 0.210 eV per atom
Density: 2.256 g/cm3
E_tot: -4.446 eV per atom
SG: I-4m2, No. 119

Structure (POSCAR):
```
LiMnCl2
1.0
8.299 0.355 0.000
6.614 5.026 0.000
-7.456 -2.690 2.483
Cl Li Mn
2 1 1
Direct
0.000 0.000 0.000
0.250 0.750 0.500
0.500 0.500 0.000
0.750 0.250 0.500
```

***

Entry 7:
A relaxed structure of PuSbPd2. Source: Alexandria via LeMat-Bulk, functional PBE.

Properties
Total magnetic moment: 1.310 μB per atom
DOS(E_F): 14.63 states/eV/f.u.
Distance to the lowest polymorph of the same formula: 0.000 eV per atom
Density: 11.577 g/cm3
E_tot: -7.782 eV per atom
SG: P2_1/m, No. 11

Structure (POSCAR):
```
PuSbPd2
1.0
-2.709 -4.349 -1.569
1.359 0.753 -4.433
5.592 -3.334 1.148
Pu Sb Pd
2 2 4
Direct
0.829 0.250 0.764
0.171 0.750 0.236
0.244 0.750 0.733
0.756 0.250 0.267
0.341 0.250 0.514
0.659 0.750 0.486
0.354 0.250 0.966
0.646 0.750 0.034
```

***

Entry 8:
A relaxed structure of PmDyGe2. Source: Alexandria via LeMat-Bulk, functional PBE.

Properties
ΔH_f (0 K): -0.66 eV per atom
Total magnetic moment: 0.000 μB per atom
DOS(E_F): 3.67 states/eV/f.u.
Density: 7.159 g/cm3
E_tot: -5.307 eV per atom
SG: R-3m, No. 166

Structure (POSCAR):
```
PmDyGe2
1.0
4.278 0.000 0.000
2.139 3.705 0.000
2.139 1.235 6.626
Ge Pm Dy
2 1 1
Direct
0.753 0.753 0.741
0.247 0.247 0.259
0.000 0.000 0.000
0.500 0.500 0.500
```

***

Entry 9:
A relaxed structure of Li2MgS. Source: Alexandria via LeMat-Bulk, functional PBE.

Properties
Total magnetic moment: 0.000 μB per atom
DOS(E_F): 0.00 states/eV/f.u.
Distance to the lowest polymorph of the same formula: 0.000 eV per atom
Density: 0.899 g/cm3
E_tot: -2.843 eV per atom
SG: I-42d, No. 122

Structure (POSCAR):
```
Li2MgS
1.0
7.106 0.000 0.000
0.000 7.106 0.000
3.553 3.553 5.141
S Mg Li
2 2 4
Direct
0.000 0.000 0.000
0.750 0.250 0.500
0.500 0.500 0.000
0.250 0.750 0.500
0.813 0.125 0.250
0.937 0.625 0.250
0.375 0.187 0.750
0.875 0.063 0.750
```

***

Entry 10:
A relaxed structure of CaZrW2. Source: Alexandria via LeMat-Bulk, functional PBE.

Properties
ΔH_f (0 K): 0.40 eV per atom
Total magnetic moment: 0.000 μB per atom
DOS(E_F): 4.75 states/eV/f.u.
Distance to the lowest polymorph of the same formula: 0.000 eV per atom
Density: 9.335 g/cm3
E_tot: -8.716 eV per atom
SG: P4mm, No. 99

Structure (POSCAR):
```
CaZrW2
1.0
3.266 0.000 0.000
0.000 3.266 0.000
0.000 0.000 8.320
Ca Zr W
1 1 2
Direct
0.500 0.500 0.790
0.000 0.000 0.432
0.000 0.000 0.058
0.500 0.500 0.220
```

***

Entry 11:
A relaxed structure of KRb2Ca. Source: Alexandria via LeMat-Bulk, functional PBE.

Properties
ΔH_f (0 K): 0.14 eV per atom
Total magnetic moment: 0.000 μB per atom
DOS(E_F): 4.02 states/eV/f.u.
Distance to the lowest polymorph of the same formula: 0.003 eV per atom
Density: 1.500 g/cm3
E_tot: -1.116 eV per atom
SG: P4/mmm, No. 123

Structure (POSCAR):
```
KRb2Ca
1.0
4.406 0.000 0.000
0.000 4.406 0.000
0.000 0.000 14.261
Ca K Rb
1 1 2
Direct
0.500 0.500 0.500
0.500 0.500 0.000
0.000 0.000 0.730
0.000 0.000 0.270
```

***

Entry 12:
A relaxed structure of Ba2SrSn2P4. Source: Alexandria via LeMat-Bulk, functional PBE.

Properties
ΔH_f (0 K): -0.65 eV per atom
Total magnetic moment: 0.000 μB per atom
DOS(E_F): 1.86 states/eV/f.u.
Density: 4.525 g/cm3
E_tot: -4.563 eV per atom
SG: C2/m, No. 12

Structure (POSCAR):
```
Ba2SrSn2P4
1.0
-3.415 1.033 3.227
-3.714 -0.383 -7.393
0.316 -6.838 2.523
Ba Sr Sn P
2 1 2 4
Direct
0.867 0.734 0.433
0.133 0.266 0.567
0.000 0.000 0.000
0.331 0.662 0.985
0.669 0.338 0.015
0.791 0.582 0.816
0.209 0.418 0.184
0.472 0.945 0.272
0.528 0.055 0.728
```

***

Entry 13:
A relaxed structure of LaTlC3. Source: Alexandria via LeMat-Bulk, functional PBE.

Properties
ΔH_f (0 K): 2.24 eV per atom
Total magnetic moment: 0.000 μB per atom
DOS(E_F): 4.20 states/eV/f.u.
Distance to the lowest polymorph of the same formula: 0.000 eV per atom
Density: 7.337 g/cm3
E_tot: -4.756 eV per atom
SG: Pm-3m, No. 221

Structure (POSCAR):
```
LaTlC3
1.0
-0.856 -2.635 3.433
-1.147 -3.236 -2.770
4.173 -1.430 -0.057
Tl C La
1 3 1
Direct
0.000 0.000 0.000
0.000 0.500 0.000
0.000 0.000 0.500
0.500 0.000 0.000
0.500 0.500 0.500
```

***

Entry 14:
A relaxed structure of Sc2Pt2Au. Source: Alexandria via LeMat-Bulk, functional PBE.

Properties
ΔH_f (0 K): -1.06 eV per atom
Total magnetic moment: 0.000 μB per atom
DOS(E_F): 2.50 states/eV/f.u.
Distance to the lowest polymorph of the same formula: 0.000 eV per atom
Density: 12.052 g/cm3
E_tot: -6.660 eV per atom
SG: P4/mbm, No. 127

Structure (POSCAR):
```
Sc2Pt2Au
1.0
7.505 0.000 0.000
0.000 7.505 0.000
0.000 0.000 3.313
Sc Au Pt
4 2 4
Direct
0.167 0.667 0.500
0.667 0.833 0.500
0.833 0.333 0.500
0.333 0.167 0.500
0.000 0.000 0.000
0.500 0.500 0.000
0.367 0.867 0.000
0.867 0.633 0.000
0.633 0.133 0.000
0.133 0.367 0.000
```

***

Entry 15:
A relaxed structure of Tb2DyY2Ho4. Source: Alexandria via LeMat-Bulk, functional PBE.

Properties
ΔH_f (0 K): 0.00 eV per atom
Total magnetic moment: 0.000 μB per atom
DOS(E_F): 12.03 states/eV/f.u.
Density: 7.700 g/cm3
E_tot: -5.013 eV per atom
SG: C2/m, No. 12

Structure (POSCAR):
```
Tb2DyY2Ho4
1.0
3.576 0.000 0.000
-1.788 9.275 -0.497
0.000 -3.664 8.766
Tb Dy Y Ho
2 1 2 4
Direct
0.334 0.667 0.999
0.666 0.333 0.001
0.000 0.000 0.000
0.853 0.705 0.335
0.147 0.295 0.665
0.815 0.630 0.665
0.185 0.370 0.335
0.519 0.037 0.333
0.481 0.963 0.667
```

***

Entry 16:
A relaxed structure of NbCr2W. Source: Alexandria via LeMat-Bulk, functional PBE.

Properties
ΔH_f (0 K): 0.96 eV per atom
Total magnetic moment: 0.000 μB per atom
DOS(E_F): 4.53 states/eV/f.u.
Distance to the lowest polymorph of the same formula: 0.959 eV per atom
Density: 9.973 g/cm3
E_tot: -9.604 eV per atom
SG: Immm, No. 71

Structure (POSCAR):
```
NbCr2W
1.0
-4.042 -0.010 -3.888
0.275 -1.797 5.306
2.838 2.647 4.049
Nb Cr W
1 2 1
Direct
0.000 0.000 0.000
0.000 0.257 0.257
0.000 0.743 0.743
0.000 0.500 0.500
```

***

Entry 17:
A relaxed structure of SrTe2N. Source: Alexandria via LeMat-Bulk, functional PBE.

Properties
Total magnetic moment: 0.161 μB per atom
DOS(E_F): 3.56 states/eV/f.u.
Density: 5.383 g/cm3
E_tot: -3.227 eV per atom
SG: R-3m, No. 166

Structure (POSCAR):
```
SrTe2N
1.0
2.119 0.000 9.432
-1.060 1.835 9.432
-1.060 -1.835 9.432
Sr Te N
1 2 1
Direct
0.000 0.000 0.000
0.885 0.885 0.885
0.115 0.115 0.115
0.500 0.500 0.500
```

***

Entry 18:
A relaxed structure of IrPbCl2. Source: Alexandria via LeMat-Bulk, functional PBE.

Properties
Total magnetic moment: 0.000 μB per atom
DOS(E_F): 1.06 states/eV/f.u.
Distance to the lowest polymorph of the same formula: 0.016 eV per atom
Density: 7.190 g/cm3
E_tot: -4.149 eV per atom
SG: Pm, No. 6

Structure (POSCAR):
```
IrPbCl2
1.0
-0.987 1.743 -2.946
-3.688 -2.651 -0.333
-5.281 3.040 3.568
Pb Ir Cl
1 1 2
Direct
0.500 0.715 0.696
0.000 0.284 0.557
0.000 0.106 0.915
0.500 0.395 0.332
```

***

Entry 19:
A relaxed structure of Li8Mg2Cd3. Source: Alexandria via LeMat-Bulk, functional PBE.

Properties
ΔH_f (0 K): -0.04 eV per atom
Total magnetic moment: 0.000 μB per atom
DOS(E_F): 5.27 states/eV/f.u.
Distance to the lowest polymorph of the same formula: 0.000 eV per atom
Density: 2.680 g/cm3
E_tot: -1.670 eV per atom
SG: Cmmm, No. 65

Structure (POSCAR):
```
Li8Mg2Cd3
1.0
-1.164 1.512 -2.352
8.585 -1.505 -5.217
-7.595 -6.835 -0.633
Li Mg Cd
8 2 3
Direct
0.000 0.583 0.166
0.000 0.417 0.834
0.000 0.127 0.254
0.000 0.873 0.746
0.500 0.602 0.697
0.500 0.095 0.697
0.500 0.905 0.303
0.500 0.398 0.303
0.500 0.266 0.532
0.500 0.734 0.468
0.500 0.000 0.000
0.000 0.260 0.000
0.000 0.740 0.000
```

***

Entry 20:
A relaxed structure of FeHgP2C. Source: Alexandria via LeMat-Bulk, functional PBE.

Properties
ΔH_f (0 K): 1.53 eV per atom
Total magnetic moment: 0.000 μB per atom
DOS(E_F): 5.02 states/eV/f.u.
Density: 7.636 g/cm3
E_tot: -4.236 eV per atom
SG: P4/mmm, No. 123

Structure (POSCAR):
```
FeHgP2C
1.0
3.935 0.000 0.000
0.000 3.935 0.000
0.000 0.000 4.640
P C Hg Fe
2 1 1 1
Direct
0.000 0.500 0.000
0.500 0.000 0.000
0.000 0.000 0.000
0.000 0.000 0.500
0.500 0.500 0.500
```

***

Entry 21:
A relaxed structure of LiMgHg4. Source: Alexandria via LeMat-Bulk, functional PBE.

Properties
ΔH_f (0 K): -0.13 eV per atom
Total magnetic moment: 0.000 μB per atom
DOS(E_F): 2.07 states/eV/f.u.
Distance to the lowest polymorph of the same formula: 0.059 eV per atom
Density: 9.382 g/cm3
E_tot: -0.916 eV per atom
SG: C2/m, No. 12

Structure (POSCAR):
```
LiMgHg4
1.0
-1.319 -2.283 -3.908
-3.093 -3.474 0.230
-7.364 3.096 -2.165
Li Mg Hg
1 1 4
Direct
0.000 0.000 0.000
0.500 0.500 0.500
0.628 0.626 0.119
0.372 0.374 0.881
0.120 0.121 0.640
0.880 0.879 0.360
```

***

Entry 22:
A relaxed structure of Ba2VAgOs. Source: Alexandria via LeMat-Bulk, functional PBE.

Properties
ΔH_f (0 K): 0.78 eV per atom
Total magnetic moment: 0.312 μB per atom
DOS(E_F): 6.02 states/eV/f.u.
Density: 6.047 g/cm3
E_tot: -4.630 eV per atom
SG: P4/mmm, No. 123

Structure (POSCAR):
```
Ba2VAgOs
1.0
-4.185 4.093 -2.100
-3.237 -2.316 1.938
0.694 3.368 5.183
Os Ba Ag V
1 2 1 1
Direct
0.000 0.500 0.000
0.000 0.000 0.500
0.500 0.000 0.000
0.500 0.500 0.500
0.000 0.000 0.000
```

***

Entry 23:
A relaxed structure of PAu5. Source: Alexandria via LeMat-Bulk, functional PBE.

Properties
ΔH_f (0 K): 0.46 eV per atom
Total magnetic moment: 0.000 μB per atom
DOS(E_F): 2.51 states/eV/f.u.
Distance to the lowest polymorph of the same formula: 0.308 eV per atom
Density: 14.478 g/cm3
E_tot: -3.173 eV per atom
SG: F-43m, No. 216

Structure (POSCAR):
```
PAu5
1.0
3.560 -0.712 -4.108
3.537 -4.187 0.133
-0.609 -4.213 -3.455
P Au
1 5
Direct
0.000 0.000 0.000
0.750 0.750 0.750
0.875 0.375 0.375
0.375 0.875 0.375
0.375 0.375 0.875
0.375 0.375 0.375
```

***

Entry 24:
A relaxed structure of K2NpIO6. Source: Alexandria via LeMat-Bulk, functional PBE.

Properties
Total magnetic moment: 0.023 μB per atom
DOS(E_F): 3.81 states/eV/f.u.
Density: 4.958 g/cm3
E_tot: -6.428 eV per atom
SG: I4/mmm, No. 139

Structure (POSCAR):
```
K2NpIO6
1.0
5.945 0.000 0.002
0.000 5.946 0.002
2.974 2.974 5.100
K Np I O
2 1 1 6
Direct
0.750 0.250 0.500
0.250 0.750 0.500
0.000 0.000 0.000
0.500 0.500 0.000
0.185 0.185 0.630
0.748 0.748 0.000
0.252 0.748 0.000
0.748 0.252 0.000
0.252 0.252 0.000
0.815 0.815 0.370
```

***

Entry 25:
A relaxed structure of NaTh2PaSb4. Source: Alexandria via LeMat-Bulk, functional PBE.

Properties
Total magnetic moment: 0.067 μB per atom
DOS(E_F): 6.02 states/eV/f.u.
Density: 7.924 g/cm3
E_tot: -5.920 eV per atom
SG: P2/m, No. 10

Structure (POSCAR):
```
NaTh2PaSb4
1.0
4.468 0.000 0.000
0.000 7.742 0.221
0.000 -2.725 7.223
Na Th Pa Sb
1 2 1 4
Direct
0.500 0.500 0.000
0.500 0.000 0.500
0.000 0.500 0.500
0.000 0.000 0.000
0.500 0.246 0.240
0.500 0.754 0.760
0.000 0.245 0.755
0.000 0.755 0.245
```